The following is a PBE calculation of Li2La2DySn2 after structural relaxation, from Alexandria via LeMat-Bulk.

Cell lengths 9.6105, 9.6105, 9.6105 Å; angles 28.94, 28.94, 28.94 degrees
Sites, in units of the cell vectors:
Li 0.1057 0.1057 0.1057
Li 0.8943 0.8943 0.8943
La 0.3687 0.3687 0.3687
La 0.6313 0.6313 0.6313
Dy 0.5000 0.5000 0.5000
Sn 0.2312 0.2312 0.2312
Sn 0.7688 0.7688 0.7688

Its formation enthalpy at 0 K is -485.8 meV per atom. The value obtained for the magnetic moment is 0.000 μB per formula unit.